[1]
First-principles (GGA-PBEsol) data for PrTlAg2 after structural relaxation, as listed in Alexandria via LeMat-Bulk.

Lattice parameters (Å, degrees): 7.069 7.069 7.069 90.00 90.00 90.00
Space group Fm-3m (No. 225)
Unique sites:
Pr 0.000 0.000 0.000 x4
Tl 0.000 0.000 0.500 x4
Ag 0.250 0.250 0.250 x8

Properties
**Formation energy from the elements**: -0.28 eV/atom
**Calculated volume**: 353.3 Å³ per cell
**M_tot**: 0.00 Bohr magnetons per cell

=====

[2]
First-principles (GGA-PBEsol) data for CsYAl2Zn after structural relaxation, as listed in Alexandria via LeMat-Bulk.

Lattice parameters (Å, degrees): 4.938 4.938 5.669 90.00 90.00 90.00
Space group P4/mmm (No. 123)
Unique sites:
Cs 0.000 0.000 0.000 x1
Y 0.500 0.500 0.000 x1
Al 0.000 0.500 0.500 x2
Zn 0.000 0.000 0.500 x1

Properties
**Formation energy from the elements**: 0.63 eV/atom
**Calculated volume**: 138.2 Å³ per cell
**M_tot**: 0.00 Bohr magnetons per cell

=====

[3]
First-principles (GGA-PBEsol) data for SrHg2W after structural relaxation, as listed in Alexandria via LeMat-Bulk.

Lattice parameters (Å, degrees): 5.228 5.228 3.091 90.00 90.00 90.00
Space group P4/mmm (No. 123)
Unique sites:
Sr 0.000 0.000 0.000 x1
Hg 0.000 0.500 0.500 x2
W 0.500 0.500 0.000 x1

Properties
**Formation energy from the elements**: 0.56 eV/atom
**Calculated volume**: 84.5 Å³ per cell
**M_tot**: 0.00 Bohr magnetons per cell
**Energy relative to the lowest polymorph listed for this composition**: 0.0 meV/atom

=====

[4]
First-principles (GGA-PBEsol) data for RbTlAs3 after structural relaxation, as listed in Alexandria via LeMat-Bulk.

Lattice parameters (Å, degrees): 5.390 5.390 5.390 90.00 90.00 90.00
Space group Pm-3m (No. 221)
Unique sites:
Rb 0.000 0.000 0.000 x1
Tl 0.500 0.500 0.500 x1
As 0.000 0.500 0.500 x3

Properties
**Formation energy from the elements**: 0.62 eV/atom
**Calculated volume**: 156.6 Å³ per cell
**M_tot**: 0.00 Bohr magnetons per cell

=====

[5]
First-principles (GGA-PBEsol) data for YMgTe2 after structural relaxation, as listed in Alexandria via LeMat-Bulk.

Lattice parameters (Å, degrees): 7.472 7.472 7.472 90.00 90.00 90.00
Space group Fm-3m (No. 225)
Unique sites:
Y 0.000 0.000 0.000 x4
Mg 0.000 0.000 0.500 x4
Te 0.250 0.250 0.250 x8

Properties
**Raw formation energy**: -3.3 eV per formula unit
**Calculated volume**: 417.1 Å³ per cell
**M_tot**: 0.00 Bohr magnetons per cell
**Energy relative to the lowest polymorph listed for this composition**: 267.0 meV/atom

=====

[6]
First-principles (GGA-PBEsol) data for SrAg2Hg after structural relaxation, as listed in Alexandria via LeMat-Bulk.

Lattice parameters (Å, degrees): 4.7606 4.7606 15.0387 90.00 90.00 120.00
Space group R-3m (No. 166, hexagonal axes)
Unique sites:
Sr 0.0000 0.0000 0.0000 x3
Ag 0.0000 0.0000 0.2078 x6
Hg 0.0000 0.0000 0.5000 x3

Properties
**Formation energy from the elements**: -0.24 eV/atom
**Calculated volume**: 295.2 Å³ per cell
**M_tot**: 0.00 Bohr magnetons per cell

=====

[7]
First-principles (GGA-PBEsol) data for LiScZn after structural relaxation, as listed in Alexandria via LeMat-Bulk.

Lattice parameters (Å, degrees): 6.085 6.085 6.085 90.00 90.00 90.00
Space group F-43m (No. 216)
Unique sites:
Li 0.000 0.000 0.000 x4
Sc 0.250 0.250 0.750 x4
Zn 0.250 0.250 0.250 x4

Properties
**Formation energy from the elements**: 0.30 eV/atom
**Calculated volume**: 225.3 Å³ per cell
**M_tot**: 2.38 Bohr magnetons per cell

=====

[8]
First-principles (GGA-PBEsol) data for BaCaAl after structural relaxation, as listed in Alexandria via LeMat-Bulk.

Lattice parameters (Å, degrees): 3.917 3.917 13.831 90.00 90.00 90.00
Space group I4mm (No. 107)
Unique sites:
Ba 0.000 0.000 0.000 x2
Ca 0.000 0.000 0.267 x2
Al 0.000 0.000 0.654 x2

Properties
**Formation energy from the elements**: -0.08 eV/atom
**Calculated volume**: 212.2 Å³ per cell
**M_tot**: 0.00 Bohr magnetons per cell

=====

[9]
First-principles (GGA-PBEsol) data for Mg2AuBr after structural relaxation, as listed in Alexandria via LeMat-Bulk.

Lattice parameters (Å, degrees): 6.945 6.945 6.945 90.00 90.00 90.00
Space group Fm-3m (No. 225)
Unique sites:
Mg 0.250 0.250 0.250 x8
Au 0.000 0.000 0.000 x4
Br 0.000 0.000 0.500 x4

Properties
**Raw formation energy**: -1.2 eV per formula unit
**Calculated volume**: 335.0 Å³ per cell
**M_tot**: 0.01 Bohr magnetons per cell
**Energy relative to the lowest polymorph listed for this composition**: 72.4 meV/atom

=====

[10]
First-principles (GGA-PBEsol) data for AgAuCl after structural relaxation, as listed in Alexandria via LeMat-Bulk.

Lattice parameters (Å, degrees): 3.307 5.256 12.442 90.00 90.00 90.00
Space group Fmm2 (No. 42)
Unique sites:
Ag 0.000 0.000 0.000 x4
Au 0.000 0.000 0.330 x4
Cl 0.000 0.000 0.658 x4

Properties
**Raw formation energy**: 0.1 eV per formula unit
**Calculated volume**: 216.3 Å³ per cell
**M_tot**: 0.00 Bohr magnetons per cell
**Energy relative to the lowest polymorph listed for this composition**: 0.0 meV/atom

=====

[11]
First-principles (GGA-PBEsol) data for KBa2I5 after structural relaxation, as listed in Alexandria via LeMat-Bulk.

Lattice parameters (Å, degrees): 10.218 9.140 14.540 90.00 90.14 90.00
Space group P2_1/c (No. 14)
Unique sites:
K 0.002 0.028 0.175 x4
Ba 0.246 0.581 0.008 x4
Ba 0.500 0.028 0.178 x4
I 0.046 0.167 0.400 x4
I 0.262 0.698 0.778 x4
I 0.267 0.536 0.502 x4
I 0.276 0.169 0.684 x4
I 0.455 0.166 0.403 x4

Properties
**Raw formation energy**: -13.7 eV per formula unit
**Calculated volume**: 1358.0 Å³ per cell
**M_tot**: 0.00 Bohr magnetons per cell

=====

[12]
First-principles (GGA-PBEsol) data for Y3TeRh after structural relaxation, as listed in Alexandria via LeMat-Bulk.

Lattice parameters (Å, degrees): 5.458 5.458 5.458 90.00 90.00 90.00
Space group Pm-3m (No. 221)
Unique sites:
Y 0.000 0.000 0.500 x3
Te 0.000 0.000 0.000 x1
Rh 0.500 0.500 0.500 x1

Properties
**Raw formation energy**: 2.2 eV per formula unit
**Calculated volume**: 162.6 Å³ per cell
**M_tot**: 0.00 Bohr magnetons per cell